Entry from Alexandria: an optimized crystal structure of NpScGe2 (GGA-PBE).

Output
- total energy (eV per atom) = -7.380
- space group = No. 166
- ΔH_f (0 K) (eV per atom) = -0.253
- total moment (μB per atom) = 0.82
- E above lowest polymorph (eV/atom) = 0.104

POSCAR file:
```
NpScGe2
1.0
-1.4805 1.3176 3.3502
-2.3267 -2.2806 2.1301
4.2485 -2.7721 5.2292
Np Ge Sc
1 2 1
direct
0.5000 0.5000 0.5000
0.7455 0.7455 0.7634
0.2545 0.2545 0.2366
0.0000 0.0000 0.0000
```

Entry from Alexandria: an optimized crystal structure of LuTaFe2 (GGA-PBE).

Output
- total energy (eV per atom) = -8.444
- space group = No. 123
- ΔH_f (0 K) (eV per atom) = -0.119
- total moment (μB per atom) = 0.08

POSCAR file:
```
LuTaFe2
1.0
3.1021 0.0000 0.0000
0.0000 3.1021 0.0000
0.0000 0.0000 6.4728
Ta Fe Lu
1 2 1
direct
0.5000 0.5000 0.0000
0.0000 0.0000 0.7798
0.0000 0.0000 0.2202
0.5000 0.5000 0.5000
```

Entry from Alexandria: an optimized crystal structure of Mn2FeSbH (GGA-PBE).

Output
- total energy (eV per atom) = -5.349
- space group = No. 123
- total moment (μB per atom) = 2.40
- E above lowest polymorph (eV/atom) = 1.474

POSCAR file:
```
Mn2FeSbH
1.0
5.1550 0.0000 0.0000
0.0000 4.8664 0.0000
0.0000 0.0000 5.1550
H Mn Fe Sb
1 2 1 1
direct
0.5000 0.5000 0.5000
0.0000 0.0000 0.5000
0.5000 0.0000 0.0000
0.0000 0.5000 0.0000
0.0000 0.0000 0.0000
```